# 1
Density functional theory data (PBE) for Ni15Bi after structural relaxation.

abc: 4.2695 33.6944 4.2696
angles: 90.00 108.54 90.00
Sites, in units of the cell vectors:
Ni 0.0000 0.0183 0.2500
Ni 0.0000 0.0551 0.7500
Ni 0.0000 0.0918 0.2500
Ni 0.0000 0.1286 0.7500
Ni 0.0000 0.1653 0.2500
Ni 0.0000 0.2018 0.7500
Ni 0.0000 0.2396 0.2500
Ni 0.0000 0.2734 0.7500
Ni 0.0000 0.7266 0.2500
Ni 0.0000 0.7604 0.7500
Ni 0.0000 0.7982 0.2500
Ni 0.0000 0.8347 0.7500
Ni 0.0000 0.8714 0.2500
Ni 0.0000 0.9082 0.7500
Ni 0.0000 0.9449 0.2500
Ni 0.0000 0.9817 0.7500
Ni 0.5000 0.0184 0.7500
Ni 0.5000 0.0550 0.2500
Ni 0.5000 0.0918 0.7500
Ni 0.5000 0.1285 0.2500
Ni 0.5000 0.1653 0.7500
Ni 0.5000 0.2023 0.2500
Ni 0.5000 0.2395 0.7500
Ni 0.5000 0.7605 0.2500
Ni 0.5000 0.7977 0.7500
Ni 0.5000 0.8347 0.2500
Ni 0.5000 0.8715 0.7500
Ni 0.5000 0.9082 0.2500
Ni 0.5000 0.9450 0.7500
Ni 0.5000 0.9816 0.2500
Bi 0.5000 0.2932 0.2500
Bi 0.5000 0.7068 0.7500

Summary:
Energy relative to the lowest polymorph listed for this composition (meV/atom): 17



# 2
Density functional theory data (PBE) for Ni15Bi after structural relaxation.

abc: 3.5329 3.5328 40.5877
angles: 90.00 90.00 90.00
Sites, in units of the cell vectors:
Ni 0.2500 0.0000 0.0211
Ni 0.2500 0.0000 0.1056
Ni 0.2500 0.0000 0.1903
Ni 0.2500 0.0000 0.2749
Ni 0.2500 0.0000 0.6838
Ni 0.2500 0.0000 0.7674
Ni 0.2500 0.0000 0.8521
Ni 0.2500 0.0000 0.9366
Ni 0.2500 0.5000 0.0634
Ni 0.2500 0.5000 0.1480
Ni 0.2500 0.5000 0.2328
Ni 0.2500 0.5000 0.7251
Ni 0.2500 0.5000 0.8097
Ni 0.2500 0.5000 0.8944
Ni 0.2500 0.5000 0.9789
Ni 0.7500 0.0000 0.0634
Ni 0.7500 0.0000 0.1479
Ni 0.7500 0.0000 0.2326
Ni 0.7500 0.0000 0.3162
Ni 0.7500 0.0000 0.7251
Ni 0.7500 0.0000 0.8097
Ni 0.7500 0.0000 0.8944
Ni 0.7500 0.0000 0.9789
Ni 0.7500 0.5000 0.0211
Ni 0.7500 0.5000 0.1056
Ni 0.7500 0.5000 0.1903
Ni 0.7500 0.5000 0.2749
Ni 0.7500 0.5000 0.7672
Ni 0.7500 0.5000 0.8520
Ni 0.7500 0.5000 0.9366
Bi 0.2500 0.5000 0.3376
Bi 0.7500 0.5000 0.6624

Summary:
Energy relative to the lowest polymorph listed for this composition (meV/atom): 0



# 3
Density functional theory data (PBE) for Ni7Bi2 after structural relaxation.

abc: 3.1159 3.1159 25.0224
angles: 90.00 90.00 120.00
Sites, in units of the cell vectors:
Ni 0.0000 0.0000 0.0000
Ni 0.0000 0.0000 0.1865
Ni 0.3333 0.6667 0.0623
Ni 0.3333 0.6667 0.2499
Ni 0.3333 0.6667 0.8741
Ni 0.6667 0.3333 0.1244
Ni 0.6667 0.3333 0.9376
Bi 0.0000 0.0000 0.7920
Bi 0.6667 0.3333 0.3320

Summary:
Calculated total energy (eV/atom): -4.68



# 4
Density functional theory data (PBE) for Ni9Bi2 after structural relaxation.

abc: 2.8716 2.8716 28.2580
angles: 90.00 90.00 120.00
Sites, in units of the cell vectors:
Ni 0.0000 0.0000 0.0000
Ni 0.0000 0.0000 0.1903
Ni 0.0000 0.0000 0.8097
Ni 0.3333 0.6667 0.1264
Ni 0.3333 0.6667 0.7450
Ni 0.3333 0.6667 0.9370
Ni 0.6667 0.3333 0.0630
Ni 0.6667 0.3333 0.2550
Ni 0.6667 0.3333 0.8736
Bi 0.3333 0.6667 0.3325
Bi 0.6667 0.3333 0.6675

Summary:
Calculated total energy (eV/atom): -4.72



# 5
Density functional theory data (PBE) for NiBi2Os after structural relaxation.

abc: 6.8730 6.8730 6.8730
angles: 90.00 90.00 90.00
Sites, in units of the cell vectors:
Ni 0.0000 0.0000 0.0000
Ni 0.0000 0.5000 0.5000
Ni 0.5000 0.0000 0.5000
Ni 0.5000 0.5000 0.0000
Bi 0.0000 0.0000 0.5000
Bi 0.0000 0.5000 0.0000
Bi 0.2500 0.2500 0.7500
Bi 0.2500 0.7500 0.2500
Bi 0.5000 0.0000 0.0000
Bi 0.5000 0.5000 0.5000
Bi 0.7500 0.2500 0.2500
Bi 0.7500 0.7500 0.7500
Os 0.2500 0.2500 0.2500
Os 0.2500 0.7500 0.7500
Os 0.7500 0.2500 0.7500
Os 0.7500 0.7500 0.2500

Summary:
Calculated total energy (eV/atom): -5.17



# 6
Density functional theory data (PBE) for Ni2BiOs after structural relaxation.

abc: 6.2359 6.2359 6.2359
angles: 90.00 90.00 90.00
Sites, in units of the cell vectors:
Ni 0.0000 0.0000 0.0000
Ni 0.0000 0.5000 0.5000
Ni 0.2500 0.2500 0.2500
Ni 0.2500 0.7500 0.7500
Ni 0.5000 0.0000 0.5000
Ni 0.5000 0.5000 0.0000
Ni 0.7500 0.2500 0.7500
Ni 0.7500 0.7500 0.2500
Bi 0.0000 0.0000 0.5000
Bi 0.0000 0.5000 0.0000
Bi 0.5000 0.0000 0.0000
Bi 0.5000 0.5000 0.5000
Os 0.2500 0.2500 0.7500
Os 0.2500 0.7500 0.2500
Os 0.7500 0.2500 0.2500
Os 0.7500 0.7500 0.7500

Summary:
Calculated total energy (eV/atom): -6.04



| no. | total magnetic moment (μB per formula unit) |
| --- | --- |
| 1 | 5.45 |
| 2 | 8.15 |
| 3 | 4.14 |
| 4 | 2.79 |
| 5 | 0.32 |
| 6 | 0.00 |